Compound: LiVOF3
Source: Alexandria via LeMat-Bulk
Functional: PBE with a Hubbard U
Structure: optimized geometry

Calculated values
Final energy in eV for the cell shown: -286.5
Space-group type: P1

a = 7.3100 Å, b = 7.3148 Å, c = 11.0325 Å
α = 72.55°, β = 72.54°, γ = 79.93°
With the nearest neighbours (Å) after each atom.
Fractional positions:
1 F 0.7677 0.5977 0.4393  1 V 1.92, 2 Li 2.05-2.10
2 F 0.2577 0.4513 0.0761  1 V 1.91, 2 Li 2.04
3 O 0.0892 0.8180 0.9172  1 V 1.72
4 F 0.2667 0.0979 0.4397  1 V 1.92, 2 Li 2.04-2.11
5 Li 0.7599 0.7728 0.2565  5 F 2.04-2.13, 1 O 2.22
6 V 0.0221 0.9973 0.9974  1 O 1.72, 2 F 1.92
7 F 0.9439 0.2257 0.0887  2 V 2.00-2.11, 1 Li 2.13
8 F 0.2685 0.0978 0.9390  1 V 1.92, 2 Li 2.05-2.10
9 F 0.1979 0.5103 0.3262  1 V 1.92, 2 Li 2.02-2.04
10 F 0.6973 0.0111 0.3264  1 V 1.92, 2 Li 2.03-2.04
11 F 0.7562 0.9525 0.0759  1 V 1.92, 2 Li 2.03-2.04
12 O 0.5641 0.3439 0.1666  1 V 1.72
13 F 0.8422 0.5207 0.6898  1 V 1.90, 2 Li 2.07-2.12
14 F 0.7558 0.9513 0.5769  1 V 1.92, 2 Li 2.02-2.04
15 V 0.7416 0.2769 0.7483  1 O 1.71, 2 F 1.90
16 Li 0.5175 0.0134 0.5068  5 F 2.03-2.13, 1 O 2.23
17 O 0.5888 0.3182 0.4172  1 V 1.72
18 V 0.0215 0.9962 0.4976  1 O 1.72, 2 F 1.92
19 V 0.2423 0.7760 0.2476  1 O 1.72, 2 F 1.92
20 Li 0.0188 0.5127 0.5057  5 F 2.02-2.13, 1 O 2.23
21 V 0.5215 0.4978 0.4969  1 O 1.72, 2 F 1.92
22 V 0.2424 0.7764 0.7474  1 O 1.72, 2 F 1.92
23 F 0.9718 0.1981 0.8385  2 V 2.01-2.11, 1 Li 2.10
24 Li 0.2598 0.2716 0.2570  5 F 2.04-2.13, 1 O 2.23
25 V 0.7433 0.2762 0.2474  1 O 1.72, 2 F 1.92
26 O 0.5911 0.3199 0.9155  2 V 1.73-1.93
27 F 0.4720 0.6984 0.8386  2 V 2.00-2.12, 1 Li 2.12
28 O 0.5644 0.3437 0.6675  1 V 1.71
29 F 0.4435 0.7256 0.0881  2 V 2.01-2.10, 1 Li 2.13
30 Li 0.2570 0.2724 0.7570  5 F 2.03-2.11, 1 O 2.25
31 F 0.1982 0.5107 0.8265  1 V 1.92, 2 Li 2.03-2.04
32 F 0.6983 0.0131 0.8256  1 V 1.90, 2 Li 2.05-2.06
33 F 0.4716 0.6977 0.3384  2 V 2.00-2.11, 1 Li 2.13
34 F 0.7684 0.5985 0.9386  1 V 1.92, 2 Li 2.04-2.11
35 F 0.3431 0.0223 0.6891  1 V 1.92, 2 Li 2.05-2.11
36 O 0.0627 0.8428 0.6675  1 V 1.72
37 F 0.2562 0.4517 0.5765  1 V 1.92, 2 Li 2.03-2.04
38 F 0.8438 0.5222 0.1890  1 V 1.92, 2 Li 2.04-2.11
39 V 0.5221 0.4987 0.9977  1 O 1.73, 2 F 1.91-1.92
40 F 0.3431 0.0219 0.1895  1 V 1.92, 2 Li 2.03-2.10
41 O 0.0885 0.8169 0.4175  1 V 1.72
42 Li 0.0186 0.5140 0.0068  5 F 2.03-2.13, 1 O 2.23
43 Li 0.7594 0.7732 0.7566  5 F 2.02-2.12, 1 O 2.22
44 O 0.0633 0.8432 0.1672  1 V 1.72
45 Li 0.5164 0.0145 0.0081  5 F 2.03-2.13, 1 O 2.25
46 F 0.4432 0.7253 0.5887  2 V 2.00-2.11, 1 Li 2.13
47 F 0.9414 0.2252 0.5906  2 V 1.99-2.13, 1 Li 2.13
48 F 0.9709 0.1977 0.3391  2 V 2.00-2.11, 1 Li 2.13